{
  "formula": "SrLiV2O6",
  "functional": "PBE+U",
  "state": "relaxed",
  "magmom_total_mub_per_fu": 1.00,
  "total_energy_ev_per_atom": -7.02,
  "lattice_angstrom": [[4.6644, -5.4947, 0.0000], [4.6644, 5.4947, 0.0000], [-2.6090, 0.0000, 5.6625]],
  "species": ["Sr", "Sr", "Li", "Li", "V", "V", "V", "V", "O", "O", "O", "O", "O", "O", "O", "O", "O", "O", "O", "O"],
  "frac_coords": [[0.1045, 0.8955, 0.7500], [0.8955, 0.1045, 0.2500], [0.2028, 0.7972, 0.2500], [0.7972, 0.2028, 0.7500], [0.2712, 0.4288, 0.8197], [0.4288, 0.2712, 0.3197], [0.5712, 0.7288, 0.6803], [0.7288, 0.5712, 0.1803], [0.0600, 0.2206, 0.6897], [0.1762, 0.6237, 0.9227], [0.2206, 0.0600, 0.1897], [0.3393, 0.4196, 0.5467], [0.3763, 0.8238, 0.5773], [0.4196, 0.3393, 0.0467], [0.5804, 0.6607, 0.9533], [0.6237, 0.1762, 0.4227], [0.6607, 0.5804, 0.4533], [0.7794, 0.9400, 0.8103], [0.8238, 0.3763, 0.0773], [0.9400, 0.7794, 0.3103]]
}